# Mn11Cu7O24

A crystal of Mn11Cu7O24 relaxed with PBEsol (meta-GGA SCAN, the Alexandria database). Values from VASP.

Values from the calculation:
Energy relative to the elements, uncorrected ... -1.732 eV per atom

Quantum ESPRESSO input file:
```
&SYSTEM
  ibrav = 0, nat = 42, ntyp = 3
/
ATOMIC_SPECIES
Mn 54.94 Mn.upf
Cu 63.55 Cu.upf
O 16.00 O.upf
ATOMIC_POSITIONS crystal
Mn 0.0000 0.0000 0.0000
Mn 0.0000 0.5000 0.0000
Mn 0.1719 0.3382 0.0116
Mn 0.3301 0.6699 0.5000
Mn 0.3320 0.6680 0.0000
Mn 0.3382 0.1719 0.0116
Mn 0.5000 0.0000 0.0000
Mn 0.6618 0.8281 0.9884
Mn 0.6680 0.3320 0.0000
Mn 0.6699 0.3301 0.5000
Mn 0.8281 0.6618 0.9884
Cu 0.0000 0.0000 0.5000
Cu 0.0395 0.7137 0.6164
Cu 0.2863 0.9605 0.3836
Cu 0.3768 0.3768 0.6280
Cu 0.6232 0.6232 0.3720
Cu 0.7137 0.0395 0.6164
Cu 0.9605 0.2863 0.3836
O 0.0517 0.8997 0.2156
O 0.0966 0.4334 0.2445
O 0.0991 0.4307 0.7940
O 0.1003 0.9483 0.7844
O 0.2373 0.2373 0.2225
O 0.2423 0.7292 0.2341
O 0.2686 0.2686 0.8173
O 0.2708 0.7577 0.7659
O 0.3953 0.5846 0.2447
O 0.4154 0.6047 0.7553
O 0.4307 0.0991 0.7940
O 0.4334 0.0966 0.2445
O 0.5666 0.9034 0.7555
O 0.5693 0.9009 0.2060
O 0.5846 0.3953 0.2447
O 0.6047 0.4154 0.7553
O 0.7292 0.2423 0.2341
O 0.7314 0.7314 0.1827
O 0.7577 0.2708 0.7659
O 0.7627 0.7627 0.7775
O 0.8997 0.0517 0.2156
O 0.9009 0.5693 0.2060
O 0.9034 0.5666 0.7555
O 0.9483 0.1003 0.7844
CELL_PARAMETERS angstrom
4.9536 -8.6082 0.0000
4.9536 8.6082 0.0000
-3.2313 0.0000 4.7606
```